{
  "formula": "Tb2PmEr5Tm",
  "functional": "PBE",
  "state": "optimized geometry",
  "lattice_angstrom": [[8.855, 0.000, 0.000], [0.000, 8.855, 0.000], [-4.428, -4.428, 7.319]],
  "species": ["Tb", "Tb", "Tb", "Tb", "Pm", "Pm", "Er", "Er", "Er", "Er", "Er", "Er", "Er", "Er", "Er", "Er", "Tm", "Tm"],
  "frac_coords": [[0.113, 0.387, 0.000], [0.613, 0.113, 0.000], [0.387, 0.887, 0.000], [0.887, 0.613, 0.000], [0.250, 0.250, 0.500], [0.750, 0.750, 0.500], [0.927, 0.427, 0.266], [0.661, 0.161, 0.734], [0.073, 0.573, 0.734], [0.161, 0.073, 0.734], [0.573, 0.661, 0.734], [0.839, 0.927, 0.266], [0.427, 0.339, 0.266], [0.339, 0.839, 0.266], [0.500, 0.500, 0.000], [0.000, 0.000, 0.000], [0.250, 0.750, 0.500], [0.750, 0.250, 0.500]],
  "formation_energy_mev_per_atom": 291.9,
  "final_energy_ev_per_atom": -4.297,
  "magnetic_moment_mub_per_cell": 0.00
}